(1)
A plane-wave DFT calculation with GGA-PBEsol was carried out for a relaxed FeSnI2O crystal.

Computed properties:
DFT total energy: -20.431 eV for the cell shown
total moment: 3.64 μB/cell
energy relative to the elements, uncorrected: 0.315 eV/atom

POSCAR file:
```
FeSnI2O
1.0
3.963 0.000 0.000
0.000 5.901 0.000
0.000 0.000 5.901
Fe Sn I O
1 1 2 1
direct
0.500 0.500 0.500 Fe
0.000 0.000 0.000 Sn
0.000 0.500 0.000 I
0.000 0.000 0.500 I
0.500 0.000 0.000 O
```

=====

(2)
A plane-wave DFT calculation with GGA-PBEsol was carried out for a relaxed TaFeIO2 crystal.

Computed properties:
DFT total energy: -31.954 eV for the cell shown
total moment: 4.51 μB/cell
energy relative to the elements, uncorrected: 0.365 eV/atom
energy above the lowest structure with this stoichiometry: 1192 meV/atom

POSCAR file:
```
TaFeIO2
1.0
-0.321 -0.309 3.796
2.784 -2.618 0.022
3.467 3.692 0.594
I O Fe Ta
1 2 1 1
direct
0.000 0.000 0.500 I
0.500 0.000 0.000 O
0.000 0.500 0.000 O
0.000 0.000 0.000 Fe
0.500 0.500 0.500 Ta
```

=====

(3)
A plane-wave DFT calculation with GGA-PBEsol was carried out for a relaxed TaFeIO2 crystal.

Computed properties:
DFT total energy: -37.913 eV for the cell shown
total moment: 2.78 μB/cell
energy relative to the elements, uncorrected: -0.827 eV/atom
energy above the lowest structure with this stoichiometry: 0 meV/atom

POSCAR file:
```
TaFeIO2
1.0
-2.383 2.878 1.001
-1.298 -2.108 2.972
4.292 2.328 3.526
O Ta I Fe
2 1 1 1
direct
0.000 0.500 0.000 O
0.500 0.000 0.000 O
0.000 0.000 0.000 Ta
0.000 0.000 0.500 I
0.500 0.500 0.500 Fe
```

=====

(4)
A plane-wave DFT calculation with GGA-PBEsol was carried out for a relaxed FeWIO2 crystal.

Computed properties:
DFT total energy: -31.699 eV for the cell shown
total moment: 6.01 μB/cell
energy relative to the elements, uncorrected: 0.668 eV/atom

POSCAR file:
```
FeWIO2
1.0
3.792 0.000 0.000
0.000 3.792 0.000
0.000 0.000 5.220
Fe O W I
1 2 1 1
direct
0.000 0.000 0.000 Fe
0.000 0.500 0.000 O
0.500 0.000 0.000 O
0.500 0.500 0.500 W
0.000 0.000 0.500 I
```

=====

(5)
A plane-wave DFT calculation with GGA-PBEsol was carried out for a relaxed FeSbPI2 crystal.

Computed properties:
DFT total energy: -17.630 eV for the cell shown
total moment: 4.06 μB/cell
energy relative to the elements, uncorrected: 1.043 eV/atom

POSCAR file:
```
FeSbPI2
1.0
-4.088 0.099 3.362
3.142 -1.775 3.873
1.192 4.953 1.303
I P Fe Sb
2 1 1 1
direct
0.000 0.500 0.000 I
0.500 0.000 0.000 I
0.000 0.000 0.000 P
0.500 0.500 0.500 Fe
0.000 0.000 0.500 Sb
```

=====

(6)
A plane-wave DFT calculation with GGA-PBEsol was carried out for a relaxed FePbI3 crystal.

Computed properties:
DFT total energy: -15.020 eV for the cell shown
total moment: 4.48 μB/cell
energy relative to the elements, uncorrected: 0.649 eV/atom

POSCAR file:
```
FePbI3
1.0
6.098 0.000 0.000
0.000 6.098 0.000
0.000 0.000 6.098
I Fe Pb
3 1 1
direct
0.000 0.500 0.000 I
0.000 0.000 0.500 I
0.500 0.000 0.000 I
0.500 0.500 0.500 Fe
0.000 0.000 0.000 Pb
```

=====

no.,ρ (Mg/m³)
1,5.3
2,8.8
3,7.3
4,8.8
5,5.2
6,4.7